Density functional theory data (PBE) for an optimized crystal structure of CaMn4P.

The calculation puts the theoretical density at 5.910 g cm⁻³. The energy relative to the elements comes out at 0.464 eV/atom. Its space-group type is F-43m, No. 216.

Unit cell a=4.8707 b=4.8707 c=4.8707 alpha=60.00 beta=60.00 gamma=60.00
Last column: nearest neighbours and their distance in Å.
Element x y z (fractional)
Ca 0.0000 0.0000 0.0000  12 Mn 2.86, 4 P 2.98
Mn 0.1316 0.6228 0.6228  6 Mn 2.39-2.48
Mn 0.6228 0.1316 0.6228  6 Mn 2.39-2.48
Mn 0.6228 0.6228 0.1316  6 Mn 2.39-2.48
Mn 0.6228 0.6228 0.6228  6 Mn 2.39-2.48
P 0.2500 0.2500 0.2500  12 Mn 2.85, 4 Ca 2.98

***

Density functional theory data (PBE) for an optimized crystal structure of ScSb2SeI.

The calculation puts the theoretical density at 4.869 g cm⁻³. The calculation puts the excess energy over the best structure of this formula in the dataset at 0 meV/atom. Its space-group type is P4/mmm, No. 123. The raw formation energy is 0.197 eV per atom.

Unit cell a=5.6191 b=5.6191 c=5.3392 alpha=90.00 beta=90.00 gamma=90.00
Last column: nearest neighbours and their distance in Å.
Element x y z (fractional)
Sc 0.0000 0.0000 0.0000  2 I 2.67, 4 Sb 2.81
Sb 0.0000 0.5000 0.0000  2 Sc 2.81
Sb 0.5000 0.0000 0.0000  2 Sc 2.81
Se 0.5000 0.5000 0.5000  8 Sb 3.88, 4 I 3.97
I 0.0000 0.0000 0.5000  2 Sc 2.67

***

Density functional theory data (PBE) for an optimized crystal structure of SnRu2Br.

The calculation puts the theoretical density at 9.692 g cm⁻³. The calculation puts the excess energy over the best structure of this formula in the dataset at 5 meV/atom. Its space-group type is Fm-3m, No. 225. The raw formation energy is 0.650 eV per atom.

Unit cell a=4.5964 b=4.5964 c=4.5964 alpha=60.00 beta=60.00 gamma=60.00
Last column: nearest neighbours and their distance in Å.
Element x y z (fractional)
Sn 0.0000 0.0000 0.0000  8 Ru 2.81
Ru 0.2500 0.2500 0.2500  4 Sn 2.81, 4 Br 2.81
Ru 0.7500 0.7500 0.7500  4 Sn 2.81, 4 Br 2.81
Br 0.5000 0.5000 0.5000  8 Ru 2.81

***

Density functional theory data (PBE) for an optimized crystal structure of TbPmGdSn.

The calculation puts the theoretical density at 8.310 g cm⁻³. The energy relative to the elements comes out at -0.248 eV/atom. Its space-group type is F-43m, No. 216.

Unit cell a=5.4723 b=5.4723 c=5.4723 alpha=60.00 beta=60.00 gamma=60.00
Last column: nearest neighbours and their distance in Å.
Element x y z (fractional)
Tb 0.0000 0.0000 0.0000  4 Sn 3.35, 4 Pm 3.35
Pm 0.2500 0.2500 0.2500  4 Gd 3.35, 4 Tb 3.35
Gd 0.5000 0.5000 0.5000  4 Sn 3.35, 4 Pm 3.35
Sn 0.7500 0.7500 0.7500  4 Gd 3.35, 4 Tb 3.35

***

Density functional theory data (PBE) for an optimized crystal structure of HfBeAsBr2.

The calculation puts the theoretical density at 6.765 g cm⁻³. The calculation puts the excess energy over the best structure of this formula in the dataset at 57 meV/atom. Its space-group type is P4/mmm, No. 123. The raw formation energy is 0.237 eV per atom.

Unit cell a=4.4622 b=4.4622 c=5.2053 alpha=90.00 beta=90.00 gamma=90.00
Last column: nearest neighbours and their distance in Å.
Element x y z (fractional)
Hf 0.0000 0.0000 0.0000  4 As 3.16, 8 Br 3.43
Be 0.5000 0.5000 0.5000  4 Br 2.23
As 0.5000 0.5000 0.0000  2 Be 2.60
Br 0.0000 0.5000 0.5000  2 Be 2.23
Br 0.5000 0.0000 0.5000  2 Be 2.23

***

Density functional theory data (PBE) for an optimized crystal structure of Ba2YPbO5.

The calculation puts the theoretical density at 6.573 g cm⁻³. Its space-group type is Cmc2_1, No. 36. The raw formation energy is -2.335 eV per atom.

Unit cell a=8.0300 b=8.0300 c=11.5220 alpha=90.00 beta=90.00 gamma=153.73
Last column: nearest neighbours and their distance in Å.
Element x y z (fractional)
Ba 0.1233 0.8767 0.5000  5 O 2.62-2.92
Ba 0.1349 0.8651 0.0649  6 O 2.72-2.87
Ba 0.8651 0.1349 0.5649  6 O 2.72-2.87
Ba 0.8767 0.1233 0.0000  5 O 2.62-2.92
Y 0.2239 0.7761 0.7902  6 O 2.25-2.39
Y 0.7761 0.2239 0.2902  6 O 2.25-2.39
Pb 0.4888 0.5112 0.2636  4 O 2.19-2.27
Pb 0.5112 0.4888 0.7637  4 O 2.19-2.27
O 0.0742 0.9258 0.8302  2 Pb 2.21, 1 Y 2.39
O 0.2802 0.7198 0.4212  2 Y 2.37, 1 Ba 2.62
O 0.2934 0.7066 0.1625  2 Y 2.36
O 0.3677 0.6323 0.7941  1 Y 2.25, 1 Pb 2.27
O 0.5000 0.5000 0.0740  1 Pb 2.19
O 0.5000 0.5000 0.5740  1 Pb 2.19
O 0.6323 0.3677 0.2941  1 Y 2.25, 1 Pb 2.27
O 0.7066 0.2934 0.6625  2 Y 2.36
O 0.7198 0.2802 0.9212  2 Y 2.37, 1 Ba 2.62
O 0.9258 0.0742 0.3302  2 Pb 2.21, 1 Y 2.39

***

Density functional theory data (PBE) for an optimized crystal structure of Ca2SiBi.

The calculation puts the theoretical density at 4.776 g cm⁻³. The calculation puts the excess energy over the best structure of this formula in the dataset at 0 meV/atom. Its space-group type is Fm-3m, No. 225. The raw formation energy is -0.387 eV per atom.

Unit cell a=5.3828 b=5.3828 c=5.3828 alpha=60.00 beta=60.00 gamma=60.00
Last column: nearest neighbours and their distance in Å.
Element x y z (fractional)
Ca 0.2500 0.2500 0.2500  4 Bi 3.30, 4 Si 3.30
Ca 0.7500 0.7500 0.7500  4 Si 3.30, 4 Bi 3.30
Si 0.0000 0.0000 0.0000  8 Ca 3.30
Bi 0.5000 0.5000 0.5000  8 Ca 3.30

***

Density functional theory data (PBE) for an optimized crystal structure of UPd2Au3.

The calculation puts the theoretical density at 15.071 g cm⁻³. The energy relative to the elements comes out at -0.154 eV/atom. Its space-group type is C2/m, No. 12.

Unit cell a=8.1362 b=8.1362 c=6.6613 alpha=91.30 beta=91.30 gamma=31.38
Last column: nearest neighbours and their distance in Å.
Element x y z (fractional)
U 0.1416 0.1416 0.2190  5 Pd 2.81-2.96, 4 Au 2.99-3.04
U 0.8584 0.8584 0.7810  5 Pd 2.81-2.96, 4 Au 2.99-3.04
Pd 0.2363 0.2363 0.8508  7 Au 2.82-3.08, 3 U 2.90-2.96, 2 Pd 2.99
Pd 0.4623 0.4623 0.6903  5 Au 2.75-2.83, 2 U 2.81, 1 Pd 2.82
Pd 0.5377 0.5377 0.3097  5 Au 2.75-2.83, 2 U 2.81, 1 Pd 2.82
Pd 0.7637 0.7637 0.1492  7 Au 2.82-3.08, 3 U 2.90-2.96, 2 Pd 2.99
Au 0.0723 0.0723 0.6421  3 Pd 2.82-2.89, 5 Au 2.92-2.97, 1 U 3.04
Au 0.3092 0.3092 0.4578  4 Pd 2.82-3.08, 5 Au 2.87-2.97, 3 U 3.04-3.16
Au 0.3909 0.3909 0.0764  5 Pd 2.75-3.02, 3 Au 2.87-2.94, 2 U 2.99
Au 0.6091 0.6091 0.9236  5 Pd 2.75-3.02, 3 Au 2.87-2.94, 2 U 2.99
Au 0.6908 0.6908 0.5422  4 Pd 2.82-3.08, 5 Au 2.87-2.97, 3 U 3.04-3.16
Au 0.9277 0.9277 0.3579  3 Pd 2.82-2.89, 5 Au 2.92-2.97, 1 U 3.04

***

Density functional theory data (PBE) for an optimized crystal structure of Pr5Y2Sc2.

The calculation puts the theoretical density at 5.457 g cm⁻³. The energy relative to the elements comes out at 0.118 eV/atom. Its space-group type is C2/m, No. 12.

Unit cell a=10.1729 b=10.1729 c=8.6649 alpha=102.50 beta=102.50 gamma=19.77
Last column: nearest neighbours and their distance in Å.
Element x y z (fractional)
Pr 0.0000 0.0000 0.0000  2 Y 3.36, 6 Pr 3.49-3.72, 4 Sc 3.66
Pr 0.2178 0.2178 0.6449  1 Y 3.30, 5 Pr 3.49-3.54, 2 Sc 3.57
Pr 0.3374 0.3374 0.0130  9 Pr 3.49-3.88, 2 Y 3.61, 1 Sc 3.66
Pr 0.6626 0.6626 0.9870  9 Pr 3.49-3.88, 2 Y 3.61, 1 Sc 3.66
Pr 0.7822 0.7822 0.3551  1 Y 3.30, 5 Pr 3.49-3.54, 2 Sc 3.57
Y 0.0547 0.0547 0.6606  3 Y 3.14-3.49, 2 Pr 3.30-3.36, 4 Sc 3.47-3.49
Y 0.9453 0.9453 0.3394  3 Y 3.14-3.49, 2 Pr 3.30-3.36, 4 Sc 3.47-3.49
Sc 0.4031 0.4031 0.6505  4 Y 3.47-3.49, 2 Sc 3.49, 6 Pr 3.57-3.70
Sc 0.5969 0.5969 0.3495  4 Y 3.47-3.49, 2 Sc 3.49, 6 Pr 3.57-3.70

***

Density functional theory data (PBE) for an optimized crystal structure of CrFeCoI2.

The calculation puts the theoretical density at 5.737 g cm⁻³. Its space-group type is P4/mmm, No. 123. The raw formation energy is 1.237 eV per atom.

Unit cell a=5.1806 b=5.1806 c=4.5355 alpha=90.00 beta=90.00 gamma=90.00
Last column: nearest neighbours and their distance in Å.
Element x y z (fractional)
Cr 0.0000 0.0000 0.0000  2 Fe 2.27
Fe 0.0000 0.0000 0.5000  2 Cr 2.27
Co 0.5000 0.5000 0.0000  8 I 3.44, 4 Cr 3.66
I 0.0000 0.5000 0.5000  2 Fe 2.59
I 0.5000 0.0000 0.5000  2 Fe 2.59

***

Density functional theory data (PBE) for an optimized crystal structure of LiZrV2Rh.

The calculation puts the theoretical density at 6.444 g cm⁻³. The energy relative to the elements comes out at 0.943 eV/atom. Its space-group type is P4/mmm, No. 123.

Unit cell a=4.0720 b=4.0720 c=4.7083 alpha=90.00 beta=90.00 gamma=90.00
Last column: nearest neighbours and their distance in Å.
Element x y z (fractional)
Li 0.0000 0.0000 0.0000  4 V 2.04
Zr 0.0000 0.0000 0.5000  2 Li 2.35
V 0.0000 0.5000 0.0000  2 Li 2.04
V 0.5000 0.0000 0.0000  2 Li 2.04
Rh 0.5000 0.5000 0.5000  4 Zr 2.88, 8 V 3.11

***

Density functional theory data (PBE) for an optimized crystal structure of SbMo2Os.

The calculation puts the theoretical density at 8.363 g cm⁻³. Its space-group type is I-42d, No. 122. The raw formation energy is 1.214 eV per atom.

Unit cell a=6.8429 b=6.8429 c=6.8429 alpha=126.53 beta=126.53 gamma=79.01
Last column: nearest neighbours and their distance in Å.
Element x y z (fractional)
Sb 0.0000 0.0000 0.0000  4 Mo 2.68
Sb 0.7500 0.2500 0.5000  4 Mo 2.68
Mo 0.1597 0.6250 0.0347  2 Os 2.42, 2 Sb 2.68
Mo 0.3750 0.4097 0.5347  2 Os 2.42, 2 Sb 2.68
Mo 0.5903 0.1250 0.9653  2 Os 2.42, 2 Sb 2.68
Mo 0.8750 0.8403 0.4653  2 Os 2.42, 2 Sb 2.68
Os 0.2500 0.7500 0.5000  4 Mo 2.42
Os 0.5000 0.5000 0.0000  4 Mo 2.42

***

Density functional theory data (PBE) for an optimized crystal structure of H2RuF.

The calculation puts the theoretical density at 7.000 g cm⁻³. The calculation puts the excess energy over the best structure of this formula in the dataset at 482 meV/atom. Its space-group type is Fm-3m, No. 225.

Unit cell a=3.4470 b=3.4470 c=3.4470 alpha=60.00 beta=60.00 gamma=60.00
Last column: nearest neighbours and their distance in Å.
Element x y z (fractional)
H 0.2500 0.2500 0.2500  4 F 2.11, 4 Ru 2.11
H 0.7500 0.7500 0.7500  4 F 2.11, 4 Ru 2.11
Ru 0.0000 0.0000 0.0000  8 H 2.11
F 0.5000 0.5000 0.5000  8 H 2.11